No. 1
DFT (PBE-GGA) results for a relaxed TlCuPb crystal.

The structure in extended XYZ format:
```
6
Lattice="4.358 0.000 0.000 0.000 4.358 0.000 0.000 0.000 7.718" Properties=species:S:1:pos:R:3 pbc="T T T"
Tl 1.090 3.269 0.000
Tl 3.269 1.090 0.000
Cu 1.090 1.090 2.037
Cu 3.269 3.269 5.681
Pb 1.090 1.090 4.804
Pb 3.269 3.269 2.913
```

Results
Total magnetization   0.00 μB per formula unit
Total DFT energy (no corrections)   -18.794 eV/cell
Crystal system   tetragonal
Symmetry   P4/nmm, No. 129
N(E_F)   0.451 states/eV/atom
Formation energy from the elements   0.2580 eV per atom

No. 2
DFT (PBE-GGA) results for a relaxed Tl2Cu2Pb crystal.

The structure in extended XYZ format:
```
10
Lattice="8.446 0.000 0.000 0.000 8.446 0.000 0.000 0.000 3.173" Properties=species:S:1:pos:R:3 pbc="T T T"
Tl 1.183 3.040 0.000
Tl 3.040 7.263 0.000
Tl 5.406 1.183 0.000
Tl 7.263 5.406 0.000
Cu 1.309 5.532 1.586
Cu 2.914 1.309 1.586
Cu 5.532 7.137 1.586
Cu 7.137 2.914 1.586
Pb 0.000 0.000 0.000
Pb 4.223 4.223 0.000
```

Results
Total magnetization   0.00 μB per formula unit
Total DFT energy (no corrections)   -29.808 eV/cell
Crystal system   tetragonal
Symmetry   P4/mbm, No. 127
Energy relative to the lowest polymorph listed for this composition   137 meV/atom
N(E_F)   0.442 states/eV/atom
Formation energy from the elements   0.3459 eV per atom

No. 3
DFT (PBE-GGA) results for a relaxed TlCuPb crystal.

The structure in extended XYZ format:
```
6
Lattice="3.616 0.000 0.000 0.000 6.414 0.000 1.730 0.012 6.728" Properties=species:S:1:pos:R:3 pbc="T T T"
Tl 0.000 0.000 0.000
Tl 1.877 3.211 0.517
Cu 3.541 1.259 4.864
Cu 3.540 5.181 4.860
Pb 1.730 3.221 4.008
Pb 1.737 0.016 2.903
```

Results
Total magnetization   0.00 μB per formula unit
Total DFT energy (no corrections)   -19.243 eV/cell
Crystal system   triclinic
Symmetry   P1, No. 1
N(E_F)   0.382 states/eV/atom
Formation energy from the elements   0.1831 eV per atom

No. 4
DFT (PBE-GGA) results for a relaxed TlCu2Pb crystal.

The structure in extended XYZ format:
```
4
Lattice="0.000 3.498 3.498 3.498 0.000 3.498 3.498 3.498 0.000" Properties=species:S:1:pos:R:3 pbc="T T T"
Tl 0.000 0.000 0.000
Cu 3.498 3.498 3.498
Cu 5.248 5.248 5.248
Pb 1.749 1.749 1.749
```

Results
Total magnetization   0.00 μB per formula unit
Total DFT energy (no corrections)   -12.310 eV/cell
Crystal system   cubic
Symmetry   F-43m, No. 216
N(E_F)   0.254 states/eV/atom
Formation energy from the elements   0.4892 eV per atom

No. 5
DFT (PBE-GGA) results for a relaxed Tl2CuPb crystal.

The structure in extended XYZ format:
```
4
Lattice="1.894 1.094 8.815 -1.894 1.094 8.815 0.000 -2.187 8.815" Properties=species:S:1:pos:R:3 pbc="T T T"
Tl 0.000 0.000 0.000
Tl 0.000 0.000 6.146
Cu 0.000 0.000 13.227
Pb 0.000 0.000 20.309
```

Results
Total magnetization   0.00 μB per formula unit
Total DFT energy (no corrections)   -11.894 eV/cell
Crystal system   trigonal
Symmetry   R3m, No. 160
N(E_F)   0.452 states/eV/atom
Formation energy from the elements   0.1608 eV per atom

No. 6
DFT (PBE-GGA) results for a relaxed Tl2CuPb crystal.

The structure in extended XYZ format:
```
4
Lattice="3.355 0.000 0.000 0.000 3.355 0.000 0.000 0.000 9.112" Properties=species:S:1:pos:R:3 pbc="T T T"
Tl 0.000 0.000 1.799
Tl 0.000 0.000 7.313
Cu 1.677 1.677 0.000
Pb 1.677 1.677 4.556
```

Results
Total magnetization   0.00 μB per formula unit
Total DFT energy (no corrections)   -11.754 eV/cell
Crystal system   tetragonal
Symmetry   P4/mmm, No. 123
N(E_F)   0.494 states/eV/atom
Formation energy from the elements   0.1957 eV per atom

No. 7
DFT (PBE-GGA) results for a relaxed Tl2CuPb crystal.

The structure in extended XYZ format:
```
4
Lattice="-2.385 2.385 4.610 2.385 -2.385 4.610 2.385 2.385 -4.610" Properties=species:S:1:pos:R:3 pbc="T T T"
Tl 2.385 0.000 2.305
Tl 0.000 2.385 2.305
Cu 0.000 0.000 0.000
Pb 0.000 0.000 4.610
```

Results
Total magnetization   0.00 μB per formula unit
Total DFT energy (no corrections)   -11.364 eV/cell
Crystal system   tetragonal
Symmetry   I4/mmm, No. 139
N(E_F)   0.481 states/eV/atom
Formation energy from the elements   0.2933 eV per atom

No. 8
DFT (PBE-GGA) results for a relaxed TlCuPb crystal.

The structure in extended XYZ format:
```
6
Lattice="2.740 -3.904 0.000 2.740 3.904 0.000 0.000 0.000 6.977" Properties=species:S:1:pos:R:3 pbc="T T T"
Tl 0.000 0.000 0.000
Tl 0.000 0.000 3.489
Cu 2.740 1.716 5.233
Cu 2.740 -1.716 1.744
Pb 2.740 1.008 1.744
Pb 2.740 -1.008 5.233
```

Results
Total magnetization   0.00 μB per formula unit
Total DFT energy (no corrections)   -18.725 eV/cell
Crystal system   orthorhombic
Symmetry   Cmcm, No. 63
N(E_F)   0.377 states/eV/atom
Formation energy from the elements   0.2694 eV per atom

No. 9
DFT (PBE-GGA) results for a relaxed TlCu2Pb crystal.

The structure in extended XYZ format:
```
8
Lattice="-3.710 3.710 3.257 3.710 -3.710 3.257 3.710 3.710 -3.257" Properties=species:S:1:pos:R:3 pbc="T T T"
Tl 0.000 0.000 0.000
Tl 0.000 3.710 1.629
Cu 5.565 1.835 -0.814
Cu 1.835 1.855 0.814
Cu -1.855 1.875 2.443
Cu 1.875 1.855 4.071
Pb 3.710 0.000 1.629
Pb 0.000 0.000 3.257
```

Results
Total magnetization   0.00 μB per formula unit
Total DFT energy (no corrections)   -25.177 eV/cell
Crystal system   tetragonal
Symmetry   I-42d, No. 122
N(E_F)   0.502 states/eV/atom
Formation energy from the elements   0.4196 eV per atom

No. 10
DFT (PBE-GGA) results for a relaxed TlCuPb crystal.

The structure in extended XYZ format:
```
6
Lattice="3.687 0.000 0.000 0.003 5.720 0.000 1.713 1.300 7.129" Properties=species:S:1:pos:R:3 pbc="T T T"
Tl 0.929 2.135 2.560
Tl 4.474 4.885 4.569
Cu 2.635 4.936 6.803
Cu 2.768 2.084 0.326
Pb 2.635 1.989 5.799
Pb 2.768 5.031 1.330
```

Results
Total magnetization   0.00 μB per formula unit
Total DFT energy (no corrections)   -19.649 eV/cell
Crystal system   triclinic
Symmetry   P-1, No. 2
N(E_F)   0.380 states/eV/atom
Formation energy from the elements   0.1154 eV per atom

No. 11
DFT (PBE-GGA) results for a relaxed TlCuPb crystal.

The structure in extended XYZ format:
```
3
Lattice="0.000 2.500 6.269 2.341 0.000 6.269 2.341 2.500 0.000" Properties=species:S:1:pos:R:3 pbc="T T T"
Tl 0.000 0.000 0.000
Cu 2.341 2.500 8.092
Pb 2.341 2.500 3.515
```

Results
Total magnetization   0.00 μB per formula unit
Total DFT energy (no corrections)   -9.533 eV/cell
Crystal system   orthorhombic
Symmetry   Fmm2, No. 42
N(E_F)   0.486 states/eV/atom
Formation energy from the elements   0.2127 eV per atom

No. 12
DFT (PBE-GGA) results for a relaxed TlCuPb crystal.

The structure in extended XYZ format:
```
6
Lattice="4.197 0.000 0.000 -0.001 5.194 0.000 -0.012 -0.997 7.041" Properties=species:S:1:pos:R:3 pbc="T T T"
Tl 0.000 0.000 0.000
Tl 4.190 0.280 3.292
Cu 2.081 0.251 5.576
Cu 4.181 1.603 6.021
Pb 2.097 2.761 1.036
Pb 2.089 2.871 4.489
```

Results
Total magnetization   0.00 μB per formula unit
Total DFT energy (no corrections)   -19.445 eV/cell
Crystal system   triclinic
Symmetry   P1, No. 1
N(E_F)   0.388 states/eV/atom
Formation energy from the elements   0.1494 eV per atom